# 1
The following is a SCAN calculation of Nd4Ge7 at its PBEsol-relaxed geometry, from Alexandria via LeMat-Bulk.

Values from the calculation:
- raw total energy (eV/cell) = -633.82
- crystal system = orthorhombic

Unit cell a=5.929 b=7.537 c=11.859 alpha=90.00 beta=90.00 gamma=113.16
Element x y z (fractional)
Nd (0.980, 0.490, 0.880)
Ge (0.180, 0.705, 0.663)
Ge (0.892, 0.823, 0.990)
Ge (0.108, 0.177, 0.490)
Ge (0.820, 0.295, 0.163)
Ge (0.560, 0.119, 0.750)
Ge (0.440, 0.881, 0.250)
Ge (0.525, 0.705, 0.837)
Nd (0.490, 0.510, 0.120)
Nd (0.996, 0.992, 0.250)
Nd (0.004, 0.008, 0.750)
Nd (0.020, 0.510, 0.380)
Ge (0.475, 0.295, 0.337)
Ge (0.576, 0.655, 0.371)
Ge (0.921, 0.345, 0.629)
Ge (0.931, 0.823, 0.510)
Ge (0.424, 0.345, 0.871)
Ge (0.079, 0.655, 0.129)
Nd (0.484, 0.000, 0.000)
Ge (0.069, 0.177, 0.010)
Nd (0.510, 0.490, 0.620)
Nd (0.516, 0.000, 0.500)


# 2
The following is a SCAN calculation of LaOsW2 at its PBEsol-relaxed geometry, from Alexandria via LeMat-Bulk.

Values from the calculation:
- raw total energy (eV/cell) = -252.09
- distance to the lowest polymorph of the same formula (meV per atom) = 18.8
- crystal system = monoclinic

Unit cell a=3.050 b=5.080 c=5.357 alpha=102.98 beta=106.54 gamma=90.00
Element x y z (fractional)
Os (0.000, 0.500, 0.000)
W (0.716, 0.672, 0.431)
W (0.284, 0.328, 0.569)
La (0.500, 0.000, 0.000)


# 3
The following is a SCAN calculation of Tl2InW at its PBEsol-relaxed geometry, from Alexandria via LeMat-Bulk.

Values from the calculation:
- raw total energy (eV/cell) = -245.16
- distance to the lowest polymorph of the same formula (meV per atom) = 0.0
- crystal system = tetragonal

Unit cell a=2.956 b=2.956 c=10.302 alpha=90.00 beta=90.00 gamma=90.00
Element x y z (fractional)
In (0.500, 0.500, 0.717)
W (0.000, 0.000, 0.512)
Tl (0.500, 0.500, 0.284)
Tl (0.000, 0.000, 0.987)


# 4
The following is a SCAN calculation of Ag4Au at its PBEsol-relaxed geometry, from Alexandria via LeMat-Bulk.

Values from the calculation:
- raw total energy (eV/cell) = -194.85
- distance to the lowest polymorph of the same formula (meV per atom) = 8.6
- crystal system = monoclinic

Unit cell a=2.882 b=4.954 c=6.368 alpha=75.26 beta=76.92 gamma=73.09
Element x y z (fractional)
Ag (0.401, 0.299, 0.899)
Ag (0.200, 0.898, 0.701)
Au (0.000, 0.500, 0.500)
Ag (0.599, 0.701, 0.101)
Ag (0.800, 0.102, 0.299)


# 5
The following is a SCAN calculation of Al2CdAs at its PBEsol-relaxed geometry, from Alexandria via LeMat-Bulk.

Values from the calculation:
- raw total energy (eV/cell) = -64.99
- distance to the lowest polymorph of the same formula (meV per atom) = 151.9
- crystal system = cubic

Unit cell a=4.757 b=4.757 c=4.757 alpha=60.00 beta=60.00 gamma=60.00
Element x y z (fractional)
As (0.500, 0.500, 0.500)
Al (0.000, 0.000, 0.000)
Cd (0.250, 0.250, 0.250)
Al (0.750, 0.750, 0.750)


# 6
The following is a SCAN calculation of LaInRh at its PBEsol-relaxed geometry, from Alexandria via LeMat-Bulk.

Values from the calculation:
- raw total energy (eV/cell) = -338.31
- crystal system = hexagonal

Unit cell a=4.084 b=7.542 c=7.542 alpha=120.00 beta=90.00 gamma=90.00
Element x y z (fractional)
Rh (0.000, 0.667, 0.333)
Rh (0.000, 0.333, 0.667)
La (0.500, 0.413, 0.413)
La (0.500, 0.587, 0.000)
Rh (0.500, 0.000, 0.000)
In (0.000, 0.000, 0.247)
La (0.500, 0.000, 0.587)
In (0.000, 0.247, 0.000)
In (0.000, 0.753, 0.753)


# 7
The following is a SCAN calculation of Na3ZnSn at its PBEsol-relaxed geometry, from Alexandria via LeMat-Bulk.

Values from the calculation:
- raw total energy (eV/cell) = -60.76
- crystal system = cubic

Unit cell a=5.881 b=5.881 c=5.881 alpha=90.00 beta=90.00 gamma=90.00
Element x y z (fractional)
Na (0.000, 0.000, 0.500)
Sn (0.000, 0.000, 0.000)
Zn (0.500, 0.500, 0.500)
Na (0.500, 0.000, 0.000)
Na (0.000, 0.500, 0.000)


# 8
The following is a SCAN calculation of Sr2TlHg at its PBEsol-relaxed geometry, from Alexandria via LeMat-Bulk.

Values from the calculation:
- raw total energy (eV/cell) = -187.73
- crystal system = tetragonal

Unit cell a=3.890 b=5.653 c=5.654 alpha=90.00 beta=90.00 gamma=90.00
Element x y z (fractional)
Hg (0.500, 0.500, 0.125)
Sr (0.000, 0.500, 0.625)
Tl (0.500, 0.000, 0.625)
Sr (0.000, 0.000, 0.125)


# 9
The following is a SCAN calculation of TaZn2 at its PBEsol-relaxed geometry, from Alexandria via LeMat-Bulk.

Values from the calculation:
- raw total energy (eV/cell) = -376.37
- crystal system = hexagonal

Unit cell a=4.986 b=4.986 c=7.992 alpha=90.00 beta=90.00 gamma=120.00
Element x y z (fractional)
Ta (0.667, 0.333, 0.932)
Zn (0.655, 0.828, 0.750)
Ta (0.333, 0.667, 0.068)
Zn (0.828, 0.172, 0.250)
Zn (0.172, 0.828, 0.750)
Zn (0.000, 0.000, 0.000)
Zn (0.172, 0.345, 0.750)
Ta (0.667, 0.333, 0.568)
Zn (0.345, 0.172, 0.250)
Ta (0.333, 0.667, 0.432)
Zn (0.828, 0.655, 0.250)
Zn (0.000, 0.000, 0.500)


# 10
The following is a SCAN calculation of NaGa3P2H4O12 at its PBEsol-relaxed geometry, from Alexandria via LeMat-Bulk.

Values from the calculation:
- raw total energy (eV/cell) = -826.37
- crystal system = monoclinic

Unit cell a=7.289 b=10.312 c=11.475 alpha=90.00 beta=98.15 gamma=90.00
Element x y z (fractional)
O (0.606, 0.621, 0.385)
O (0.317, 0.776, 0.285)
O (0.685, 0.944, 0.721)
P (0.231, 0.692, 0.178)
O (0.567, 0.892, 0.429)
O (0.718, 0.655, 0.999)
O (0.433, 0.108, 0.571)
Ga (0.513, 0.935, 0.268)
O (0.438, 0.270, 0.380)
O (0.394, 0.379, 0.615)
Ga (0.987, 0.435, 0.232)
O (0.177, 0.717, 0.723)
H (0.697, 0.888, 0.470)
Ga (0.554, 0.787, 0.040)
O (0.315, 0.056, 0.279)
O (0.894, 0.121, 0.115)
O (0.069, 0.287, 0.622)
O (0.231, 0.100, 0.006)
O (0.223, 0.447, 0.779)
Na (0.952, 0.080, 0.695)
Ga (0.431, 0.737, 0.458)
O (0.106, 0.879, 0.885)
Na (0.048, 0.920, 0.305)
O (0.129, 0.165, 0.411)
O (0.871, 0.835, 0.589)
O (0.677, 0.783, 0.223)
O (0.269, 0.600, 0.494)
O (0.452, 0.931, 0.106)
H (0.803, 0.388, 0.030)
O (0.569, 0.213, 0.122)
H (0.330, 0.534, 0.551)
O (0.823, 0.283, 0.277)
H (0.355, 0.997, 0.070)
H (0.303, 0.112, 0.530)
Ga (0.069, 0.237, 0.042)
O (0.277, 0.947, 0.721)
O (0.323, 0.217, 0.777)
O (0.183, 0.276, 0.215)
Ga (0.569, 0.263, 0.542)
O (0.683, 0.224, 0.715)
H (0.257, 0.894, 0.573)
O (0.731, 0.400, 0.506)
O (0.282, 0.345, 0.001)
Ga (0.487, 0.065, 0.732)
P (0.731, 0.808, 0.678)
O (0.769, 0.900, 0.994)
Ga (0.946, 0.287, 0.460)
O (0.931, 0.713, 0.378)
P (0.749, 0.668, 0.305)
O (0.431, 0.787, 0.878)
H (0.743, 0.106, 0.427)
Ga (0.013, 0.565, 0.768)
P (0.769, 0.308, 0.822)
O (0.218, 0.845, 0.499)
O (0.067, 0.608, 0.929)
O (0.782, 0.155, 0.501)
O (0.723, 0.053, 0.279)
H (0.243, 0.394, 0.927)
H (0.830, 0.966, 0.051)
H (0.855, 0.503, 0.570)
O (0.817, 0.724, 0.785)
Na (0.452, 0.420, 0.195)
O (0.048, 0.431, 0.394)
H (0.197, 0.612, 0.970)
H (0.645, 0.003, 0.930)
O (0.562, 0.730, 0.620)
O (0.371, 0.665, 0.089)
O (0.938, 0.230, 0.880)
O (0.933, 0.392, 0.071)
Ga (0.931, 0.763, 0.958)
H (0.670, 0.466, 0.449)
H (0.757, 0.606, 0.073)
H (0.170, 0.034, 0.949)
P (0.249, 0.832, 0.805)
O (0.777, 0.553, 0.221)
Ga (0.054, 0.713, 0.540)
O (0.062, 0.770, 0.120)
P (0.251, 0.332, 0.695)
O (0.548, 0.069, 0.894)
Ga (0.446, 0.213, 0.960)
O (0.185, 0.556, 0.221)
O (0.952, 0.569, 0.606)
O (0.629, 0.335, 0.911)
P (0.269, 0.192, 0.322)
Na (0.548, 0.580, 0.805)
P (0.751, 0.168, 0.195)
H (0.145, 0.497, 0.430)
O (0.815, 0.444, 0.779)


# 11
The following is a SCAN calculation of ZnWSe2N at its PBEsol-relaxed geometry, from Alexandria via LeMat-Bulk.

Values from the calculation:
- raw total energy (eV/cell) = -125.84
- crystal system = tetragonal
- E_form (uncorrected) (eV/f.u.) = 6.81

Unit cell a=3.521 b=4.912 c=4.912 alpha=90.00 beta=90.00 gamma=90.00
Element x y z (fractional)
Se (0.000, 0.000, 0.500)
W (0.500, 0.500, 0.500)
Se (0.000, 0.500, 0.000)
N (0.500, 0.000, 0.000)
Zn (0.000, 0.000, 0.000)


# 12
The following is a SCAN calculation of CsNbAu3 at its PBEsol-relaxed geometry, from Alexandria via LeMat-Bulk.

Values from the calculation:
- raw total energy (eV/cell) = -277.44
- crystal system = cubic

Unit cell a=5.220 b=5.220 c=5.220 alpha=90.00 beta=90.00 gamma=90.00
Element x y z (fractional)
Au (0.000, 0.500, 0.000)
Au (0.000, 0.000, 0.500)
Nb (0.000, 0.000, 0.000)
Cs (0.500, 0.500, 0.500)
Au (0.500, 0.000, 0.000)


# 13
The following is a SCAN calculation of Zr2CdPb at its PBEsol-relaxed geometry, from Alexandria via LeMat-Bulk.

Values from the calculation:
- raw total energy (eV/cell) = -168.80
- crystal system = orthorhombic

Unit cell a=3.192 b=5.318 c=5.318 alpha=107.82 beta=90.00 gamma=90.00
Element x y z (fractional)
Zr (0.000, 0.500, 0.000)
Zr (0.000, 0.000, 0.500)
Cd (0.500, 0.000, 0.000)
Pb (0.500, 0.500, 0.500)


# 14
The following is a SCAN calculation of GeSb2PtI at its PBEsol-relaxed geometry, from Alexandria via LeMat-Bulk.

Values from the calculation:
- raw total energy (eV/cell) = -197.64
- distance to the lowest polymorph of the same formula (meV per atom) = 0.0
- crystal system = tetragonal
- E_form (uncorrected) (eV/f.u.) = 2.90

Unit cell a=5.166 b=5.166 c=5.416 alpha=90.00 beta=90.00 gamma=90.00
Element x y z (fractional)
Ge (0.500, 0.500, 0.500)
Pt (0.000, 0.000, 0.000)
I (0.000, 0.000, 0.500)
Sb (0.500, 0.000, 0.000)
Sb (0.000, 0.500, 0.000)


# 15
The following is a SCAN calculation of LaMnOs2 at its PBEsol-relaxed geometry, from Alexandria via LeMat-Bulk.

Values from the calculation:
- raw total energy (eV/cell) = -203.05
- distance to the lowest polymorph of the same formula (meV per atom) = 211.0
- crystal system = tetragonal

Unit cell a=4.250 b=4.806 c=4.250 alpha=63.76 beta=90.00 gamma=116.24
Element x y z (fractional)
Mn (0.500, 0.000, 0.500)
Os (0.750, 0.500, 0.750)
Os (0.250, 0.500, 0.250)
La (0.000, 0.000, 0.000)


# 16
The following is a SCAN calculation of GaRe3H at its PBEsol-relaxed geometry, from Alexandria via LeMat-Bulk.

Values from the calculation:
- raw total energy (eV/cell) = -230.74
- crystal system = cubic

Unit cell a=3.924 b=3.924 c=3.924 alpha=90.00 beta=90.00 gamma=90.00
Element x y z (fractional)
H (0.000, 0.000, 0.000)
Re (0.000, 0.000, 0.500)
Re (0.000, 0.500, 0.000)
Ga (0.500, 0.500, 0.500)
Re (0.500, 0.000, 0.000)


# 17
The following is a SCAN calculation of KY2Fe at its PBEsol-relaxed geometry, from Alexandria via LeMat-Bulk.

Values from the calculation:
- raw total energy (eV/cell) = -79.80
- crystal system = orthorhombic

Unit cell a=3.553 b=6.343 c=6.343 alpha=59.54 beta=73.74 gamma=73.74
Element x y z (fractional)
Y (0.180, 0.820, 0.820)
Y (0.820, 0.180, 0.180)
K (0.000, 0.500, 0.500)
Fe (0.500, 0.000, 0.000)


# 18
The following is a SCAN calculation of Be3Ag at its PBEsol-relaxed geometry, from Alexandria via LeMat-Bulk.

Values from the calculation:
- raw total energy (eV/cell) = -44.00
- distance to the lowest polymorph of the same formula (meV per atom) = 22.6
- crystal system = tetragonal

Unit cell a=2.725 b=2.725 c=5.481 alpha=90.00 beta=90.00 gamma=90.00
Element x y z (fractional)
Be (0.500, 0.500, 0.292)
Be (0.000, 0.000, 0.500)
Be (0.500, 0.500, 0.708)
Ag (0.000, 0.000, 0.000)


# 19
The following is a SCAN calculation of ZrAg2GeBi at its PBEsol-relaxed geometry, from Alexandria via LeMat-Bulk.

Values from the calculation:
- raw total energy (eV/cell) = -187.97
- crystal system = tetragonal

Unit cell a=4.652 b=4.652 c=5.632 alpha=90.00 beta=90.00 gamma=90.00
Element x y z (fractional)
Ag (0.000, 0.500, 0.000)
Zr (0.500, 0.500, 0.500)
Ge (0.000, 0.000, 0.000)
Bi (0.000, 0.000, 0.500)
Ag (0.500, 0.000, 0.000)


# 20
The following is a SCAN calculation of K2CaTl2 at its PBEsol-relaxed geometry, from Alexandria via LeMat-Bulk.

Values from the calculation:
- raw total energy (eV/cell) = -171.54
- crystal system = tetragonal

Unit cell a=4.649 b=4.649 c=8.861 alpha=105.21 beta=105.21 gamma=90.00
Element x y z (fractional)
K (0.750, 0.250, 0.500)
K (0.250, 0.750, 0.500)
Tl (0.590, 0.590, 0.181)
Tl (0.410, 0.410, 0.819)
Ca (0.000, 0.000, 0.000)


# 21
The following is a SCAN calculation of ZnCd at its PBEsol-relaxed geometry, from Alexandria via LeMat-Bulk.

Values from the calculation:
- raw total energy (eV/cell) = -43.69
- crystal system = tetragonal

Unit cell a=2.954 b=2.954 c=4.053 alpha=90.00 beta=90.00 gamma=90.00
Element x y z (fractional)
Cd (0.000, 0.000, 0.000)
Zn (0.500, 0.500, 0.500)


# 22
The following is a SCAN calculation of Sc3SnMo at its PBEsol-relaxed geometry, from Alexandria via LeMat-Bulk.

Values from the calculation:
- raw total energy (eV/cell) = -112.11
- crystal system = cubic

Unit cell a=4.931 b=4.931 c=4.931 alpha=90.00 beta=90.00 gamma=90.00
Element x y z (fractional)
Sn (0.500, 0.500, 0.500)
Mo (0.000, 0.000, 0.000)
Sc (0.000, 0.500, 0.000)
Sc (0.000, 0.000, 0.500)
Sc (0.500, 0.000, 0.000)


# 23
The following is a SCAN calculation of TiSbS2Cl at its PBEsol-relaxed geometry, from Alexandria via LeMat-Bulk.

Values from the calculation:
- raw total energy (eV/cell) = -83.26
- crystal system = tetragonal
- E_form (uncorrected) (eV/f.u.) = -2.74

Unit cell a=4.558 b=4.738 c=4.738 alpha=90.00 beta=90.00 gamma=90.00
Element x y z (fractional)
Sb (0.500, 0.500, 0.500)
S (0.000, 0.500, 0.000)
Cl (0.500, 0.000, 0.000)
Ti (0.000, 0.000, 0.000)
S (0.000, 0.000, 0.500)